## FeINO2 (PBE+U)

Data for an optimized crystal structure of FeINO2.

a = 3.623 Å, b = 3.623 Å, c = 6.714 Å
α = 90.00°, β = 90.00°, γ = 90.00°
Sites, in units of the cell vectors:
Fe: 0.000 0.000 0.000
I: 0.000 0.000 0.500
N: 0.500 0.500 0.500
O: 0.000 0.500 0.000
O: 0.500 0.000 0.000

Electronic total energy in eV/atom: -4.57
Space group: P4/mmm, No. 123